# 1
Computed, not measured: a relaxed CeDy6Ho3 crystal at the GGA-PBE level of DFT.

a b c (Å): 6.1235 6.1257 9.3551
angles (deg): 70.89 70.93 80.29
Sites, in units of the cell vectors:
Ce 0.0000 0.0000 0.0000
Dy 0.1990 0.0020 0.6015
Dy 0.2963 0.4995 0.9005
Dy 0.4007 0.9991 0.1998
Dy 0.5993 0.0009 0.8002
Dy 0.7037 0.5005 0.0995
Dy 0.8010 0.9980 0.3985
Ho 0.0983 0.5023 0.2995
Ho 0.5000 0.5000 0.5000
Ho 0.9017 0.4977 0.7005

Fermi-level density of states, states/eV per cell: 17.2
ΔE to the lowest computed polymorph, eV per atom: 0.000
Formation energy from the elements, eV/atom: 0.0401
M_tot, μB per formula unit: 1.17

***

# 2
Computed, not measured: a relaxed AcThIrRh crystal at the GGA-PBE level of DFT.

a b c (Å): 5.1412 5.1412 5.1412
angles (deg): 60.00 60.00 60.00
Sites, in units of the cell vectors:
Ac 0.0000 0.0000 0.0000
Th 0.5000 0.5000 0.5000
Ir 0.2500 0.2500 0.2500
Rh 0.7500 0.7500 0.7500

Fermi-level density of states, states/eV per cell: 2.5
ΔE to the lowest computed polymorph, eV per atom: 0.061
Formation energy from the elements, eV/atom: -0.5898
M_tot, μB per formula unit: 0.00

***

# 3
Computed, not measured: a relaxed K4ErU3Se8 crystal at the GGA-PBE level of DFT.

a b c (Å): 9.1385 9.1385 9.1385
angles (deg): 54.81 54.81 54.81
Sites, in units of the cell vectors:
K 0.0000 0.0000 0.0000
K 0.0000 0.5000 0.5000
K 0.5000 0.0000 0.5000
K 0.5000 0.5000 0.0000
Er 0.5000 0.5000 0.5000
U 0.0000 0.0000 0.5000
U 0.0000 0.5000 0.0000
U 0.5000 0.0000 0.0000
Se 0.2364 0.2364 0.2364
Se 0.2401 0.7336 0.7336
Se 0.2664 0.2664 0.7599
Se 0.2664 0.7599 0.2664
Se 0.7336 0.2401 0.7336
Se 0.7336 0.7336 0.2401
Se 0.7599 0.2664 0.2664
Se 0.7636 0.7636 0.7636

Formation energy without anion corrections, eV/atom: -1.35
Fermi-level density of states, states/eV per cell: 17.0
M_tot, μB per formula unit: 9.01

***

# 4
Computed, not measured: a relaxed ErHfRe crystal at the GGA-PBE level of DFT.

a b c (Å): 6.3974 6.3974 6.3974
angles (deg): 149.56 149.56 43.58
Sites, in units of the cell vectors:
Er 0.0000 0.0000 0.0000
Hf 0.2672 0.2672 0.0000
Re 0.6517 0.6517 0.0000

Fermi-level density of states, states/eV per cell: 1.2
ΔE to the lowest computed polymorph, eV per atom: 0.000
Formation energy from the elements, eV/atom: -0.0683
M_tot, μB per formula unit: 0.00